This record from OQMD describes crystalline TmReOs at its relaxed geometry. The functional is PBE.

## Properties
**Formation enthalpy at 0 K**: 1674 meV per atom
**Total magnetization**: 2.283 μB per formula unit
**SG**: F-43m (216)

Cell and atoms, written as POSCAR:
```
TmReOs
1.0
0.000 3.145 3.145
3.145 0.000 3.145
3.145 3.145 0.000
Tm Re Os
1 1 1
direct
0.000 0.000 0.000
0.750 0.750 0.750
0.250 0.250 0.250
```

=====

This record from OQMD describes crystalline UReOs at its relaxed geometry. The functional is PBE.

## Properties
**Distance to the lowest polymorph of the same formula**: 235 meV per atom
**Formation enthalpy at 0 K**: 849 meV per atom
**Total magnetization**: 0.008 μB per formula unit
**SG**: F-43m (216)

Cell and atoms, written as POSCAR:
```
UReOs
1.0
0.000 3.123 3.123
3.123 0.000 3.123
3.123 3.123 0.000
U Re Os
1 1 1
direct
0.750 0.750 0.750
0.500 0.500 0.500
0.000 0.000 0.000
```

=====

This record from OQMD describes crystalline UReOs at its relaxed geometry. The functional is PBE.

## Properties
**Distance to the lowest polymorph of the same formula**: 0 meV per atom
**Formation enthalpy at 0 K**: 614 meV per atom
**Total magnetization**: 0.296 μB per formula unit
**SG**: F-43m (216)

Cell and atoms, written as POSCAR:
```
UReOs
1.0
0.848 -4.199 -1.097
-2.860 -3.191 1.090
-2.393 -1.992 -3.140
Re Os U
1 1 1
direct
0.250 0.250 0.250
0.000 0.000 0.000
0.750 0.750 0.750
```

=====

This record from OQMD describes crystalline ReOs6W at its relaxed geometry. The functional is PBE.

## Properties
**Formation enthalpy at 0 K**: -72 meV per atom
**Total magnetization**: 0.003 μB per formula unit
**SG**: P-6m2 (187)

Cell and atoms, written as POSCAR:
```
ReOs6W
1.0
-4.335 -2.322 2.529
4.767 0.653 2.725
-1.320 3.949 1.363
Os Re W
6 1 1
direct
0.499 0.501 0.000
0.166 0.331 0.500
0.669 0.834 0.500
0.002 0.501 0.000
0.166 0.834 0.500
0.499 0.998 0.000
0.000 0.000 0.000
0.667 0.333 0.500
```

=====

This record from OQMD describes crystalline Re2Os2W at its relaxed geometry. The functional is PBE.

## Properties
**Distance to the lowest polymorph of the same formula**: 0 meV per atom
**Formation enthalpy at 0 K**: 751 meV per atom
**Total magnetization**: 0.001 μB per formula unit
**SG**: I4/mmm (139)

Cell and atoms, written as POSCAR:
```
Re2Os2W
1.0
-1.916 1.916 5.698
1.916 -1.916 5.698
1.916 1.916 -5.698
Os Re W
2 2 1
direct
0.604 0.604 0.000
0.396 0.396 0.000
0.250 0.750 0.500
0.750 0.250 0.500
0.000 0.000 0.000
```

=====

This record from OQMD describes crystalline ReOsW at its relaxed geometry. The functional is PBE.

## Properties
**Distance to the lowest polymorph of the same formula**: 0 meV per atom
**Formation enthalpy at 0 K**: 719 meV per atom
**Total magnetization**: 0.002 μB per formula unit
**SG**: F-43m (216)

Cell and atoms, written as POSCAR:
```
ReOsW
1.0
0.000 2.996 2.996
2.996 0.000 2.996
2.996 2.996 0.000
W Os Re
1 1 1
direct
0.750 0.750 0.750
0.000 0.000 0.000
0.250 0.250 0.250
```

=====

This record from OQMD describes crystalline Re2Os2W at its relaxed geometry. The functional is PBE.

## Properties
**Distance to the lowest polymorph of the same formula**: 50 meV per atom
**Formation enthalpy at 0 K**: 801 meV per atom
**Total magnetization**: 0.057 μB per formula unit
**SG**: I4/mmm (139)

Cell and atoms, written as POSCAR:
```
Re2Os2W
1.0
-1.175 3.638 -0.410
-1.376 -0.838 -3.491
-3.712 -2.753 4.241
Os W Re
2 1 2
direct
0.750 0.250 0.500
0.250 0.750 0.500
0.000 0.000 0.000
0.603 0.603 0.207
0.397 0.397 0.793
```

=====

This record from OQMD describes crystalline Y2ReOs3 at its relaxed geometry. The functional is PBE.

## Properties
**Formation enthalpy at 0 K**: -283 meV per atom
**Total magnetization**: 0.002 μB per formula unit
**SG**: P6_3/mmc (194)

Cell and atoms, written as POSCAR:
```
Y2ReOs3
1.0
-1.611 5.190 0.064
-2.864 -3.700 -2.765
-4.717 -1.550 6.959
Os Y Re
6 4 2
direct
0.172 0.345 0.750
0.345 0.172 0.250
0.172 0.828 0.750
0.655 0.828 0.750
0.828 0.655 0.250
0.828 0.172 0.250
0.333 0.667 0.435
0.667 0.333 0.935
0.667 0.333 0.565
0.333 0.667 0.065
0.000 0.000 0.000
0.000 0.000 0.500
```

=====

This record from OQMD describes crystalline Y2Re3Os at its relaxed geometry. The functional is PBE.

## Properties
**Formation enthalpy at 0 K**: -243 meV per atom
**Total magnetization**: 0.008 μB per formula unit
**SG**: P6_3/mmc (194)

Cell and atoms, written as POSCAR:
```
Y2Re3Os
1.0
5.332 0.000 0.000
-2.666 4.618 0.000
0.000 0.000 9.028
Y Re Os
4 6 2
direct
0.667 0.333 0.562
0.667 0.333 0.938
0.333 0.667 0.438
0.333 0.667 0.062
0.829 0.171 0.250
0.171 0.341 0.750
0.829 0.659 0.250
0.659 0.829 0.750
0.171 0.829 0.750
0.341 0.171 0.250
0.000 0.000 0.000
0.000 0.000 0.500
```

=====

This record from OQMD describes crystalline Zr2Re3Os at its relaxed geometry. The functional is PBE.

## Properties
**Formation enthalpy at 0 K**: -385 meV per atom
**Total magnetization**: 0.004 μB per formula unit
**SG**: P6_3/mmc (194)

Cell and atoms, written as POSCAR:
```
Zr2Re3Os
1.0
5.231 0.000 0.000
-2.615 4.530 0.000
0.000 0.000 8.787
Os Zr Re
2 4 6
direct
0.000 0.000 0.500
0.000 0.000 0.000
0.333 0.667 0.937
0.333 0.667 0.563
0.667 0.333 0.437
0.667 0.333 0.063
0.172 0.828 0.250
0.828 0.657 0.750
0.172 0.343 0.250
0.343 0.172 0.750
0.828 0.172 0.750
0.657 0.828 0.250
```

=====

This record from OQMD describes crystalline Zr2ReOs3 at its relaxed geometry. The functional is PBE.

## Properties
**Formation enthalpy at 0 K**: -378 meV per atom
**Total magnetization**: 0.001 μB per formula unit
**SG**: P6_3/mmc (194)

Cell and atoms, written as POSCAR:
```
Zr2ReOs3
1.0
-1.370 -4.691 2.054
5.060 1.576 0.134
-1.338 3.663 7.472
Zr Os Re
4 6 2
direct
0.333 0.667 0.937
0.667 0.333 0.063
0.333 0.667 0.563
0.667 0.333 0.437
0.173 0.345 0.250
0.345 0.173 0.750
0.655 0.827 0.250
0.827 0.655 0.750
0.827 0.173 0.750
0.173 0.827 0.250
0.000 0.000 0.500
0.000 0.000 0.000
```

=====

This record from OQMD describes crystalline OsS2 at its relaxed geometry. The functional is PBE.

## Properties
**Raw total energy**: -6.41 eV per atom
**Total magnetization**: 0.001 μB per formula unit
**SG**: P6_3/mmc (194)

Cell and atoms, written as POSCAR:
```
OsS2
1.0
-0.697 -1.029 3.113
3.187 0.398 -0.959
-0.304 11.086 3.596
Os S
2 4
direct
0.667 0.333 0.250
0.333 0.667 0.750
0.667 0.333 0.630
0.333 0.667 0.130
0.667 0.333 0.870
0.333 0.667 0.370
```